A plane-wave DFT calculation with GGA+U was carried out for a relaxed Na3Sc3VO8 crystal.

The structure in POSCAR format:
```
Na3Sc3VO8
1.0
3.134 1.809 5.510
-3.134 1.809 5.510
0.000 -3.619 5.510
Na Sc V O
3 3 1 8
Direct
0.000 0.500 0.500 Na
0.500 0.000 0.500 Na
0.500 0.500 0.000 Na
0.000 0.000 0.500 Sc
0.000 0.500 0.000 Sc
0.500 0.000 0.000 Sc
0.500 0.500 0.500 V
0.234 0.234 0.234 O
0.251 0.720 0.720 O
0.280 0.280 0.749 O
0.280 0.749 0.280 O
0.720 0.251 0.720 O
0.720 0.720 0.251 O
0.749 0.280 0.280 O
0.766 0.766 0.766 O
```

VASP energy   -110.4 eV per cell
V   12.50 Å³/atom
Crystal system   trigonal
Total magnetization   1.00 μB per formula unit